Computed, not measured: crystalline ErPuIr at its relaxed geometry at the GGA-PBE level of DFT.

Cell: 4.774 4.774 4.774 Å, 60.00 60.00 60.00°
Positions (direct):
Ir1 0.250 0.250 0.250
Er1 0.500 0.500 0.500
Pu1 0.000 0.000 0.000

The calculation puts the formation energy from the elements at -45.1 kJ per mole of atoms. The space group is F-43m (216).

***

Computed, not measured: crystalline PHWS2 at its relaxed geometry at the GGA-PBE level of DFT.

Cell: 4.399 4.399 3.158 Å, 90.00 90.00 90.00°
Positions (direct):
H1 0.000 0.000 0.000
W1 0.500 0.500 0.500
S1 0.000 0.500 0.000
S2 0.500 0.000 0.000
P1 0.000 0.000 0.500

Its final energy is -26.00 eV for the cell shown. The space group is P4/mmm (123).

***

Computed, not measured: crystalline Sm4Ag3Pb at its relaxed geometry at the GGA-PBE level of DFT.

Cell: 5.298 5.299 8.471 Å, 108.20 108.22 90.00°
Positions (direct):
Sm1 0.871 0.871 0.741
Sm2 0.371 0.370 0.741
Sm3 0.629 0.630 0.259
Sm4 0.129 0.129 0.259
Ag1 0.247 0.747 0.495
Ag2 0.000 0.500 0.000
Ag3 0.753 0.253 0.505
Pb1 0.500 0.000 0.000

The calculation puts the formation energy from the elements at -32.0 kJ per mole of atoms. The space group is I4/mmm (139).

***

Computed, not measured: crystalline BeRe2Se at its relaxed geometry at the GGA-PBE level of DFT.

Cell: 4.954 4.954 4.954 Å, 143.74 129.01 64.17°
Positions (direct):
Be1 0.242 0.742 0.500
Re1 0.743 0.243 0.500
Re2 0.021 0.021 0.000
Se1 0.494 0.494 0.000

The energy relative to the elements, uncorrected is 0.5248 eV/atom. The space group is Imm2 (44).

***

Computed, not measured: crystalline Ce2HoCd at its relaxed geometry at the GGA-PBE level of DFT.

Cell: 5.469 5.469 5.469 Å, 60.00 60.00 60.00°
Positions (direct):
Ce1 0.750 0.750 0.750
Ce2 0.250 0.250 0.250
Ho1 0.000 0.000 0.000
Cd1 0.500 0.500 0.500

The calculation puts the formation energy from the elements at 8.5 kJ per mole of atoms. The space group is Fm-3m (225).

***

Computed, not measured: crystalline Co2HgW at its relaxed geometry at the GGA-PBE level of DFT.

Cell: 4.919 4.919 4.919 Å, 136.21 136.21 63.66°
Positions (direct):
W1 0.750 0.250 0.500
Co1 0.250 0.750 0.500
Co2 0.000 0.000 0.000
Hg1 0.500 0.500 0.000

The calculation puts the formation energy from the elements at 51.7 kJ per mole of atoms. The space group is I-4m2 (119).

***

Computed, not measured: crystalline ZnSiMo at its relaxed geometry at the GGA-PBE level of DFT.

Cell: 4.201 4.201 4.201 Å, 60.00 60.00 60.00°
Positions (direct):
Mo1 0.750 0.750 0.750
Zn1 0.500 0.500 0.500
Si1 0.000 0.000 0.000

The energy relative to the elements, uncorrected is 0.4794 eV/atom. The space group is F-43m (216).

***

Computed, not measured: crystalline NdSmY5 at its relaxed geometry at the GGA-PBE level of DFT.

Cell: 6.583 6.583 11.636 Å, 103.93 103.93 95.40°
Positions (direct):
Y1 0.447 0.807 0.836
Y2 0.272 0.569 0.036
Y3 0.069 0.772 0.536
Y4 0.693 0.053 0.664
Y5 0.307 0.947 0.336
Y6 0.912 0.588 0.750
Y7 0.728 0.431 0.964
Y8 0.553 0.193 0.164
Y9 0.088 0.412 0.250
Y10 0.931 0.228 0.464
Sm1 0.257 0.243 0.750
Sm2 0.743 0.757 0.250
Nd1 0.000 0.000 0.000
Nd2 0.500 0.500 0.500

The calculation puts the formation energy from the elements at 9.6 kJ per mole of atoms. The space group is C2/c (15).